A plane-wave DFT calculation with PBE was carried out for crystalline Ca3Si2As4 at its relaxed geometry.

Cell: 7.3229 17.8005 7.1864 Å, 90.00 111.67 90.00°
Sites, in units of the cell vectors:
Ca: 0.2186 0.1839 0.0135
Ca: 0.2186 0.3161 0.5135
Ca: 0.2546 0.0593 0.5121
Ca: 0.2546 0.4407 0.0121
Ca: 0.2616 0.5604 0.5019
Ca: 0.2616 0.9396 0.0019
Ca: 0.7384 0.0604 0.9981
Ca: 0.7384 0.4396 0.4981
Ca: 0.7454 0.5593 0.9879
Ca: 0.7454 0.9407 0.4879
Ca: 0.7814 0.6839 0.4865
Ca: 0.7814 0.8161 0.9865
Si: 0.2123 0.6297 0.0298
Si: 0.2123 0.8703 0.5298
Si: 0.3161 0.7403 0.9206
Si: 0.3161 0.7597 0.4206
Si: 0.6839 0.2403 0.5794
Si: 0.6839 0.2597 0.0794
Si: 0.7877 0.1297 0.4702
Si: 0.7877 0.3703 0.9702
As: 0.0074 0.5614 0.7501
As: 0.0074 0.9386 0.2501
As: 0.0368 0.6872 0.2218
As: 0.0368 0.8128 0.7218
As: 0.4942 0.1967 0.7704
As: 0.4942 0.3033 0.2704
As: 0.5000 0.0680 0.2572
As: 0.5000 0.4320 0.7572
As: 0.5000 0.5680 0.2428
As: 0.5000 0.9320 0.7428
As: 0.5058 0.6967 0.7296
As: 0.5058 0.8033 0.2296
As: 0.9632 0.1872 0.2782
As: 0.9632 0.3128 0.7782
As: 0.9926 0.0614 0.7499
As: 0.9926 0.4386 0.2499

Magnetization ... 0.0 Bohr magnetons per cell
Volume ... 24.18 Å³ per atom
Excess energy over the best structure of this formula in the dataset ... 0.000 eV/atom
ΔE_f (raw) ... -0.83 eV per atom